(1)
PrInSn2I8 | PBE | optimized geometry

a = 7.3850 Å, b = 9.5922 Å, c = 7.8413 Å
α = 90.00°, β = 90.83°, γ = 90.00°
Space group P2/m (No. 10)
Unique sites:
Pr 0.0000 0.0000 0.0000
In 0.0000 0.5000 0.0000
Sn 0.5000 0.2551 0.5000
I 0.2459 0.0000 0.6688
I 0.2501 0.2332 0.1604
I 0.2706 0.5000 0.6439

Formation energy without anion corrections, meV per atom: -765
Spin magnetization, μB per formula unit: 0.00

(2)
Pr4InTe2I | PBE | optimized geometry

a = 7.8576 Å, b = 4.5254 Å, c = 7.9723 Å
α = 90.00°, β = 108.92°, γ = 90.00°
Space group P2/m (No. 10)
Unique sites:
Pr 0.2391 0.0000 0.2287
Pr 0.2507 0.5000 0.7604
In 0.5000 0.0000 0.0000
Te 0.0000 0.0000 0.5000
Te 0.0000 0.5000 0.0000
I 0.5000 0.5000 0.5000

Formation energy without anion corrections, meV per atom: -1059
Spin magnetization, μB per formula unit: 0.00